5
Lattice="4.944 0.000 0.000 0.000 4.940 0.000 0.000 0.000 4.944" Properties=species:S:1:pos:R:3 comment="InTc2AgPd | Alexandria | PBE | relaxed" n_ef_per_ev_fu=3.25 e_tot_ev_per_fu=-22.2 e_form_ev_per_atom=1.86 pbc="T T T"
Tc 2.472 0.000 0.000
Tc 0.000 0.000 2.472
In 0.000 2.470 0.000
Ag 0.000 0.000 0.000
Pd 2.472 2.470 2.472